Record 1
{"formula": "HfAg2PbF", "functional": "GGA-PBE", "state": "relaxed", "lattice": [[-3.971, -0.148, 3.443], [2.571, -4.153, 2.786], [2.470, 3.542, 3.000]], "species": ["Hf", "F", "Pb", "Ag", "Ag"], "frac_coords": [[0.000, 0.500, 0.000], [0.500, 0.500, 0.500], [0.000, 0.000, 0.000], [0.000, 0.000, 0.500], [0.500, 0.000, 0.000]], "raw_formation_energy_mev_per_atom": 664, "spacegroup": "P4/mmm, No. 123", "dos_at_fermi_per_ev_fu": 3.40, "volume_a3_per_atom": 31.09, "crystal_system": "tetragonal", "m_tot_mub_per_fu": 1.0, "dft_energy_ry_per_atom": -0.263}

Record 2
{"formula": "Hf2AgPtF", "functional": "GGA-PBE", "state": "relaxed", "lattice": [[5.179, 0.000, 0.000], [0.000, 3.949, 0.000], [0.000, 0.000, 5.179]], "species": ["F", "Ag", "Hf", "Hf", "Pt"], "frac_coords": [[0.000, 0.500, 0.000], [0.000, 0.000, 0.000], [0.000, 0.000, 0.500], [0.500, 0.000, 0.000], [0.500, 0.500, 0.500]], "raw_formation_energy_mev_per_atom": 470, "spacegroup": "P4/mmm, No. 123", "dos_at_fermi_per_ev_fu": 7.28, "volume_a3_per_atom": 21.19, "crystal_system": "tetragonal", "m_tot_mub_per_fu": 0.0, "dft_energy_ry_per_atom": -0.416}

Record 3
{"formula": "RbHfAgF6", "functional": "GGA-PBE", "state": "relaxed", "lattice": [[6.218, 0.000, 0.000], [-3.109, 5.385, 0.000], [0.000, 0.000, 10.957]], "species": ["F", "F", "F", "F", "F", "F", "F", "F", "F", "F", "F", "F", "Ag", "Ag", "Rb", "Rb", "Hf", "Hf"], "frac_coords": [[0.346, 0.941, 0.647], [0.059, 0.654, 0.853], [0.059, 0.405, 0.647], [0.405, 0.059, 0.147], [0.654, 0.595, 0.147], [0.941, 0.595, 0.353], [0.654, 0.059, 0.353], [0.595, 0.654, 0.647], [0.941, 0.346, 0.147], [0.595, 0.941, 0.853], [0.346, 0.405, 0.853], [0.405, 0.346, 0.353], [0.667, 0.333, 0.750], [0.333, 0.667, 0.250], [0.000, 0.000, 0.500], [0.000, 0.000, 0.000], [0.333, 0.667, 0.750], [0.667, 0.333, 0.250]], "raw_formation_energy_mev_per_atom": -3036, "spacegroup": "P-31c, No. 163", "dos_at_fermi_per_ev_fu": 0.00, "volume_a3_per_atom": 20.38, "crystal_system": "trigonal", "m_tot_mub_per_fu": 0.1, "dft_energy_ry_per_atom": -0.427}

Record 4
{"formula": "Rb2HfAgF6", "functional": "GGA-PBE", "state": "relaxed", "lattice": [[-5.739, 2.569, 2.624], [-3.366, -1.733, -5.665], [-5.591, -3.873, 0.409]], "species": ["F", "F", "F", "F", "F", "F", "Rb", "Rb", "Hf", "Ag"], "frac_coords": [[0.792, 0.792, 0.417], [0.792, 0.792, 0.000], [0.792, 0.208, 0.000], [0.208, 0.792, 0.000], [0.208, 0.208, 0.583], [0.208, 0.208, 0.000], [0.750, 0.250, 0.500], [0.250, 0.750, 0.500], [0.000, 0.000, 0.000], [0.500, 0.500, 0.000]], "raw_formation_energy_mev_per_atom": -2814, "spacegroup": "Fm-3m, No. 225", "dos_at_fermi_per_ev_fu": 5.44, "volume_a3_per_atom": 22.37, "crystal_system": "cubic", "m_tot_mub_per_fu": 0.9, "dft_energy_ry_per_atom": -0.398}

Record 5
{"formula": "RbHfAg2F8", "functional": "GGA-PBE", "state": "relaxed", "lattice": [[5.347, -0.911, 0.359], [1.658, 5.165, 0.359], [1.026, 0.623, 8.055]], "species": ["Ag", "Ag", "F", "F", "F", "F", "F", "F", "F", "F", "Rb", "Hf"], "frac_coords": [[0.545, 0.545, 0.274], [0.455, 0.455, 0.726], [0.749, 0.749, 0.039], [0.340, 0.340, 0.495], [0.211, 0.824, 0.817], [0.176, 0.789, 0.183], [0.789, 0.176, 0.183], [0.251, 0.251, 0.961], [0.660, 0.660, 0.505], [0.824, 0.211, 0.817], [0.000, 0.000, 0.500], [0.000, 0.000, 0.000]], "raw_formation_energy_mev_per_atom": -2520, "spacegroup": "C2/m, No. 12", "dos_at_fermi_per_ev_fu": 1.73, "volume_a3_per_atom": 19.30, "crystal_system": "monoclinic", "m_tot_mub_per_fu": 1.0, "dft_energy_ry_per_atom": -0.379}

Record 6
{"formula": "HfAgSF2", "functional": "GGA-PBE", "state": "relaxed", "lattice": [[4.152, 0.000, 0.000], [0.000, 5.021, 0.000], [0.000, 0.000, 4.152]], "species": ["F", "F", "S", "Ag", "Hf"], "frac_coords": [[0.000, 0.000, 0.500], [0.500, 0.000, 0.000], [0.000, 0.500, 0.000], [0.500, 0.500, 0.500], [0.000, 0.000, 0.000]], "raw_formation_energy_mev_per_atom": -1915, "spacegroup": "P4/mmm, No. 123", "dos_at_fermi_per_ev_fu": 2.89, "volume_a3_per_atom": 17.31, "crystal_system": "tetragonal", "m_tot_mub_per_fu": 0.0, "dft_energy_ry_per_atom": -0.445}

Record 7
{"formula": "SrHfAg2F8", "functional": "GGA-PBE", "state": "relaxed", "lattice": [[3.847, -0.056, -0.002], [0.065, 5.994, -0.007], [0.004, 0.009, 7.918]], "species": ["Ag", "Ag", "F", "F", "F", "F", "F", "F", "F", "F", "Sr", "Hf"], "frac_coords": [[0.500, 0.500, 0.743], [0.500, 0.500, 0.257], [0.499, 0.191, 0.000], [0.999, 0.210, 0.794], [0.499, 0.753, 0.500], [0.002, 0.790, 0.794], [0.501, 0.247, 0.500], [0.001, 0.790, 0.206], [0.501, 0.809, 0.000], [0.998, 0.210, 0.206], [0.000, 0.000, 0.500], [0.000, 0.000, 0.000]], "raw_formation_energy_mev_per_atom": -2866, "spacegroup": "P2/m, No. 10", "dos_at_fermi_per_ev_fu": 0.00, "volume_a3_per_atom": 15.22, "crystal_system": "monoclinic", "m_tot_mub_per_fu": 0.0, "dft_energy_ry_per_atom": -0.409}

Record 8
{"formula": "HfTl2AgF6", "functional": "GGA-PBE", "state": "relaxed", "lattice": [[-6.414, -0.562, -0.110], [0.642, -6.662, -3.437], [0.206, -3.804, 7.413]], "species": ["Hf", "Hf", "Tl", "Tl", "Tl", "Tl", "Ag", "Ag", "F", "F", "F", "F", "F", "F", "F", "F", "F", "F", "F", "F"], "frac_coords": [[0.500, 0.109, 0.500], [0.000, 0.891, 0.000], [0.500, 0.611, 0.242], [0.500, 0.611, 0.758], [0.000, 0.389, 0.742], [0.000, 0.389, 0.258], [0.500, 0.304, 0.000], [0.000, 0.696, 0.500], [0.709, 0.916, 0.500], [0.000, 0.853, 0.236], [0.791, 0.084, 0.000], [0.291, 0.916, 0.500], [0.232, 0.701, 0.000], [0.268, 0.299, 0.500], [0.768, 0.701, 0.000], [0.500, 0.147, 0.264], [0.000, 0.853, 0.764], [0.732, 0.299, 0.500], [0.209, 0.084, 0.000], [0.500, 0.147, 0.736]], "raw_formation_energy_mev_per_atom": -2468, "spacegroup": "Pmmn, No. 59", "dos_at_fermi_per_ev_fu": 1.47, "volume_a3_per_atom": 20.19, "crystal_system": "orthorhombic", "m_tot_mub_per_fu": 0.0, "dft_energy_ry_per_atom": -0.393}

Record 9
{"formula": "Hf2TlAgF", "functional": "GGA-PBE", "state": "relaxed", "lattice": [[-0.489, -2.663, 4.432], [0.133, -4.474, -2.674], [5.168, -0.138, 0.487]], "species": ["Tl", "F", "Ag", "Hf", "Hf"], "frac_coords": [[0.000, 0.500, 0.000], [0.500, 0.500, 0.500], [0.000, 0.000, 0.000], [0.000, 0.000, 0.500], [0.500, 0.000, 0.000]], "raw_formation_energy_mev_per_atom": 831, "spacegroup": "P4/mmm, No. 123", "dos_at_fermi_per_ev_fu": 5.63, "volume_a3_per_atom": 28.12, "crystal_system": "tetragonal", "m_tot_mub_per_fu": 0.0, "dft_energy_ry_per_atom": -0.336}

Record 10
{"formula": "HfTlAg2F6", "functional": "GGA-PBE", "state": "relaxed", "lattice": [[-3.133, -2.535, 6.827], [-2.849, -6.056, 2.475], [2.215, -4.400, 3.926]], "species": ["F", "F", "F", "F", "F", "F", "Ag", "Ag", "Hf", "Tl"], "frac_coords": [[0.945, 0.466, 0.251], [0.252, 0.638, 0.067], [0.383, 0.050, 0.454], [0.250, 0.583, 0.649], [0.380, 0.995, 0.035], [0.687, 0.167, 0.852], [0.637, 0.445, 0.248], [0.995, 0.187, 0.855], [0.316, 0.316, 0.052], [0.816, 0.816, 0.551]], "raw_formation_energy_mev_per_atom": -2406, "spacegroup": "P-1, No. 2", "dos_at_fermi_per_ev_fu": 1.60, "volume_a3_per_atom": 17.53, "crystal_system": "triclinic", "m_tot_mub_per_fu": 0.0, "dft_energy_ry_per_atom": -0.392}